(1)
# Mg2CoSb2 PBE-GGA relaxed
# volume	220	Å³ per cell
# E_form (uncorrected)	0.0	eV per formula unit
# SG	P4/mbm (127)
# DFT total energy	-37.03	eV per cell
# offset from the most stable computed form	0.0	meV/atom
data_Mg2CoSb2
_space_group_name_H-M_alt 'P 1'
_space_group_IT_number 1
_cell_length_a 6.6230
_cell_length_b 6.6230
_cell_length_c 5.0051
_cell_angle_alpha 90.00
_cell_angle_beta 90.00
_cell_angle_gamma 90.00
loop_
_space_group_symop_operation_xyz
'x,y,z'
loop_
_atom_site_label
_atom_site_type_symbol
_atom_site_fract_x
_atom_site_fract_y
_atom_site_fract_z
Mg1 Mg 0.1712 0.6712 0.5000
Mg2 Mg 0.3288 0.1712 0.5000
Mg3 Mg 0.8288 0.3288 0.5000
Mg4 Mg 0.6712 0.8288 0.5000
Sb1 Sb 0.8442 0.6558 0.0000
Sb2 Sb 0.3442 0.8442 0.0000
Sb3 Sb 0.1558 0.3442 0.0000
Sb4 Sb 0.6558 0.1558 0.0000
Co1 Co 0.5000 0.5000 0.0000
Co2 Co 0.0000 0.0000 0.0000

=====

(2)
# Mg2CoSb PBE-GGA relaxed
# volume	81	Å³ per cell
# E_form (uncorrected)	-0.1	eV per formula unit
# SG	Imm2 (44)
# DFT total energy	-14.53	eV per cell
data_Mg2CoSb
_space_group_name_H-M_alt 'P 1'
_space_group_IT_number 1
_cell_length_a 6.5924
_cell_length_b 6.5924
_cell_length_c 4.4182
_cell_angle_alpha 70.41
_cell_angle_beta 70.41
_cell_angle_gamma 26.61
loop_
_space_group_symop_operation_xyz
'x,y,z'
loop_
_atom_site_label
_atom_site_type_symbol
_atom_site_fract_x
_atom_site_fract_y
_atom_site_fract_z
Mg1 Mg 0.9310 0.9310 0.0692
Mg2 Mg 0.7539 0.7539 0.7459
Co1 Co 0.2433 0.2433 0.2565
Sb1 Sb 0.5718 0.5718 0.4284

=====

(3)
# Mg2CoSb PBE-GGA relaxed
# volume	78	Å³ per cell
# E_form (uncorrected)	0.1	eV per formula unit
# SG	Amm2 (38)
# DFT total energy	-14.37	eV per cell
data_Mg2CoSb
_space_group_name_H-M_alt 'P 1'
_space_group_IT_number 1
_cell_length_a 4.1193
_cell_length_b 3.4677
_cell_length_c 5.6989
_cell_angle_alpha 72.30
_cell_angle_beta 90.00
_cell_angle_gamma 90.00
loop_
_space_group_symop_operation_xyz
'x,y,z'
loop_
_atom_site_label
_atom_site_type_symbol
_atom_site_fract_x
_atom_site_fract_y
_atom_site_fract_z
Mg1 Mg 0.5000 0.3033 0.2695
Mg2 Mg 0.0000 0.9631 0.9495
Sb1 Sb 0.0000 0.6832 0.5075
Co1 Co 0.5000 0.5505 0.7736

=====

(4)
# MgCoSb2 PBE-GGA relaxed
# volume	95	Å³ per cell
# E_form (uncorrected)	0.0	eV per formula unit
# SG	Amm2 (38)
# DFT total energy	-16.98	eV per cell
data_MgCoSb2
_space_group_name_H-M_alt 'P 1'
_space_group_IT_number 1
_cell_length_a 4.2068
_cell_length_b 4.5221
_cell_length_c 5.4712
_cell_angle_alpha 65.66
_cell_angle_beta 90.00
_cell_angle_gamma 90.00
loop_
_space_group_symop_operation_xyz
'x,y,z'
loop_
_atom_site_label
_atom_site_type_symbol
_atom_site_fract_x
_atom_site_fract_y
_atom_site_fract_z
Co1 Co 0.0000 0.5272 0.5706
Sb1 Sb 0.5000 0.6665 0.2926
Sb2 Sb 0.0000 0.9519 0.7213
Mg1 Mg 0.5000 0.3544 0.9155

=====

(5)
# Mg2CoSb PBE-GGA relaxed
# volume	77	Å³ per cell
# E_form (uncorrected)	0.2	eV per formula unit
# SG	P4/mmm (123)
# DFT total energy	-14.22	eV per cell
data_Mg2CoSb
_space_group_name_H-M_alt 'P 1'
_space_group_IT_number 1
_cell_length_a 3.1186
_cell_length_b 3.1186
_cell_length_c 7.8760
_cell_angle_alpha 90.00
_cell_angle_beta 90.00
_cell_angle_gamma 90.00
loop_
_space_group_symop_operation_xyz
'x,y,z'
loop_
_atom_site_label
_atom_site_type_symbol
_atom_site_fract_x
_atom_site_fract_y
_atom_site_fract_z
Co1 Co 0.5000 0.5000 0.7500
Sb1 Sb 0.5000 0.5000 0.2500
Mg1 Mg 0.0000 0.0000 0.9364
Mg2 Mg 0.0000 0.0000 0.5636

=====

(6)
# MgCoSb PBE-GGA relaxed
# volume	108	Å³ per cell
# E_form (uncorrected)	-0.6	eV per formula unit
# SG	R-3m (166)
# DFT total energy	-26.89	eV per cell
data_MgCoSb
_space_group_name_H-M_alt 'P 1'
_space_group_IT_number 1
_cell_length_a 4.3142
_cell_length_b 7.1749
_cell_length_c 4.3118
_cell_angle_alpha 89.99
_cell_angle_beta 60.00
_cell_angle_gamma 72.50
loop_
_space_group_symop_operation_xyz
'x,y,z'
loop_
_atom_site_label
_atom_site_type_symbol
_atom_site_fract_x
_atom_site_fract_y
_atom_site_fract_z
Sb1 Sb 0.8112 0.6431 0.8662
Sb2 Sb 0.8111 0.1431 0.3662
Co1 Co 0.0732 0.2501 0.7351
Co2 Co 0.5489 0.0361 0.9974
Mg1 Mg 0.2879 0.4283 0.1274
Mg2 Mg 0.3343 0.8580 0.6044